Compound: Rb2LiPrI6
Source: the Alexandria database
Functional: GGA-PBEsol
Structure: relaxed

abc: 11.9215 11.9215 11.9215
angles: 90.00 90.00 90.00
Last column: nearest neighbours and their distance in Å.
Space group Fm-3m (No. 225)
Asymmetric unit:
Rb 0.2500 0.2500 0.2500  12 I 4.22
Li 0.0000 0.0000 0.0000  6 I 2.89
Pr 0.0000 0.0000 0.5000  6 I 3.07
I 0.0000 0.0000 0.2422  1 Li 2.89, 1 Pr 3.07

Its energy relative to the elements, uncorrected is -1366 meV per atom. The value obtained for the density of states at the Fermi level is 0.0000 states/eV per atom.

---

Compound: LiSbPtI2
Source: the Alexandria database
Functional: GGA-PBEsol
Structure: relaxed

abc: 5.6984 5.6984 5.0243
angles: 90.00 90.00 90.00
Last column: nearest neighbours and their distance in Å.
Space group P4/mmm (No. 123)
Asymmetric unit:
Li 0.0000 0.0000 0.0000  8 I 3.80, 4 Sb 4.03
Sb 0.5000 0.5000 0.0000  2 Pt 2.51
Pt 0.5000 0.5000 0.5000  2 Sb 2.51
I 0.0000 0.5000 0.5000  2 Pt 2.85

Its energy relative to the elements, uncorrected is -8 meV per atom. The value obtained for the density of states at the Fermi level is 0.7387 states/eV per atom.

---

Compound: LiTe2PtI
Source: the Alexandria database
Functional: GGA-PBEsol
Structure: relaxed

abc: 5.2740 5.2740 5.6110
angles: 90.00 90.00 90.00
Last column: nearest neighbours and their distance in Å.
Space group P4/mmm (No. 123)
Asymmetric unit:
Li 0.0000 0.0000 0.0000  4 I 3.73, 8 Te 3.85
Te 0.0000 0.5000 0.5000  2 Pt 2.64
Pt 0.5000 0.5000 0.5000  4 Te 2.64, 2 I 2.81
I 0.5000 0.5000 0.0000  2 Pt 2.81

Its energy relative to the elements, uncorrected is 27 meV per atom. The value obtained for the density of states at the Fermi level is 1.4502 states/eV per atom.

---

Compound: RbLi2RhI
Source: the Alexandria database
Functional: GGA-PBEsol
Structure: relaxed

abc: 4.9874 4.9874 5.2374
angles: 90.00 90.00 90.00
Last column: nearest neighbours and their distance in Å.
Space group P4/mmm (No. 123)
Asymmetric unit:
Rb 0.0000 0.0000 0.0000  4 I 3.53, 8 Li 3.62
Li 0.0000 0.5000 0.5000  2 Rh 2.49
Rh 0.5000 0.5000 0.5000  4 Li 2.49, 2 I 2.62
I 0.5000 0.5000 0.0000  2 Rh 2.62

Its energy relative to the elements, uncorrected is -155 meV per atom. The value obtained for the density of states at the Fermi level is 0.4686 states/eV per atom.

---

Compound: LiRe3I
Source: the Alexandria database
Functional: GGA-PBEsol
Structure: relaxed

abc: 4.7995 4.7995 4.7995
angles: 90.00 90.00 90.00
Last column: nearest neighbours and their distance in Å.
Space group Pm-3m (No. 221)
Asymmetric unit:
Li 0.0000 0.0000 0.0000  12 Re 3.39
Re 0.0000 0.5000 0.5000  2 I 2.40
I 0.5000 0.5000 0.5000  6 Re 2.40

Its energy relative to the elements, uncorrected is 2784 meV per atom. The value obtained for the density of states at the Fermi level is 1.0195 states/eV per atom. As for the energy above the most stable polymorph in this dataset: 704 meV/atom.

---

Compound: LiRe3I
Source: the Alexandria database
Functional: GGA-PBEsol
Structure: relaxed

abc: 4.2573 4.2573 4.2573
angles: 90.00 90.00 90.00
Last column: nearest neighbours and their distance in Å.
Space group Pm-3m (No. 221)
Asymmetric unit:
Li 0.0000 0.0000 0.0000  6 Re 2.13
Re 0.0000 0.0000 0.5000  2 Li 2.13
I 0.5000 0.5000 0.5000  12 Re 3.01

Its energy relative to the elements, uncorrected is 2080 meV per atom. The value obtained for the density of states at the Fermi level is 1.2590 states/eV per atom. As for the energy above the most stable polymorph in this dataset: 0 meV/atom.

---

| no. | total DFT energy (no corrections) (eV/cell) | total magnetic moment (μB/cell) |
| --- | --- | --- |
| 1 | -133.8 | 0.0 |
| 2 | -17.1 | 0.4 |
| 3 | -17.6 | 0.0 |
| 4 | -15.6 | 0.0 |
| 5 | -29.8 | 1.8 |
| 6 | -33.3 | 0.0 |